1.
Crystalline RbBa2Mg2 at its relaxed geometry. Source: Alexandria, functional GGA-PBE.

The structure in POSCAR format:
```
RbBa2Mg2
1.0
10.8151 0.0000 0.0000
0.0000 10.8151 0.0000
0.0000 0.0000 4.1115
Rb Ba Mg
2 4 4
Direct
0.0000 0.0000 0.0000
0.5000 0.5000 0.0000
0.1336 0.3664 0.0000
0.3664 0.8664 0.0000
0.6336 0.1336 0.0000
0.8664 0.6336 0.0000
0.1567 0.6567 0.5000
0.3433 0.1567 0.5000
0.6567 0.8433 0.5000
0.8433 0.3433 0.5000
```

Fermi-level density of states   1.261 states/eV per atom
E above lowest polymorph   24 meV per atom
Formation enthalpy at 0 K   102.9 meV/atom
Crystal system   tetragonal
V   48.09 A^3/atom



2.
Crystalline TbHoCuRu at its relaxed geometry. Source: Alexandria, functional GGA-PBE.

The structure in POSCAR format:
```
TbHoCuRu
1.0
0.0000 3.4330 3.4330
3.4330 0.0000 3.4330
3.4330 3.4330 0.0000
Tb Ho Cu Ru
1 1 1 1
Direct
0.0000 0.0000 0.0000
0.5000 0.5000 0.5000
0.2500 0.2500 0.2500
0.7500 0.7500 0.7500
```

Fermi-level density of states   0.804 states/eV per atom
Formation enthalpy at 0 K   -333.8 meV/atom
Crystal system   cubic
V   20.23 A^3/atom



3.
Crystalline KMo2Au at its relaxed geometry. Source: Alexandria, functional GGA-PBE.

The structure in POSCAR format:
```
KMo2Au
1.0
2.6784 0.0000 0.0000
0.0000 5.2174 0.0000
0.0000 0.0000 5.6846
K Mo Au
1 2 1
Direct
0.0000 0.0000 0.0000
0.0000 0.5000 0.5000
0.5000 0.0000 0.5000
0.5000 0.5000 0.0000
```

Fermi-level density of states   0.847 states/eV per atom
E above lowest polymorph   542 meV per atom
Formation enthalpy at 0 K   1050.4 meV/atom
Crystal system   orthorhombic
V   19.86 A^3/atom



4.
Crystalline ZrTlZn2 at its relaxed geometry. Source: Alexandria, functional GGA-PBE.

The structure in POSCAR format:
```
ZrTlZn2
1.0
3.2473 0.0000 0.0000
0.0000 3.2473 0.0000
0.0000 0.0000 7.8737
Zr Tl Zn
1 1 2
Direct
0.0000 0.0000 0.0000
0.0000 0.0000 0.5000
0.5000 0.5000 0.2267
0.5000 0.5000 0.7733
```

Fermi-level density of states   0.503 states/eV per atom
E above lowest polymorph   143 meV per atom
Formation enthalpy at 0 K   -3.2 meV/atom
Crystal system   tetragonal
V   20.76 A^3/atom



5.
Crystalline Er8SnC4 at its relaxed geometry. Source: Alexandria, functional GGA-PBE.

The structure in POSCAR format:
```
Er8SnC4
1.0
0.0000 5.3483 5.3483
5.3483 0.0000 5.3483
5.3483 5.3483 0.0000
Er Sn C
8 1 4
Direct
0.3984 0.3984 0.3984
0.3984 0.3984 0.8049
0.3984 0.8049 0.3984
0.4174 0.8608 0.8608
0.8049 0.3984 0.3984
0.8608 0.4174 0.8608
0.8608 0.8608 0.4174
0.8608 0.8608 0.8608
0.2500 0.2500 0.2500
0.1125 0.6292 0.6292
0.6292 0.1125 0.6292
0.6292 0.6292 0.1125
0.6292 0.6292 0.6292
```

Fermi-level density of states   0.542 states/eV per atom
E above lowest polymorph   162 meV per atom
Formation enthalpy at 0 K   -207.8 meV/atom
Crystal system   cubic
V   23.54 A^3/atom



6.
Crystalline Sn2HgTe2 at its relaxed geometry. Source: Alexandria, functional GGA-PBE.

The structure in POSCAR format:
```
Sn2HgTe2
1.0
8.5380 0.0000 0.0000
0.0000 8.5380 0.0000
0.0000 0.0000 4.2025
Sn Hg Te
4 2 4
Direct
0.1465 0.3535 0.0000
0.3535 0.8535 0.0000
0.6465 0.1465 0.0000
0.8535 0.6465 0.0000
0.0000 0.0000 0.0000
0.5000 0.5000 0.0000
0.1592 0.6592 0.5000
0.3408 0.1592 0.5000
0.6592 0.8408 0.5000
0.8408 0.3408 0.5000
```

Fermi-level density of states   0.419 states/eV per atom
E above lowest polymorph   65 meV per atom
Crystal system   tetragonal
V   30.63 A^3/atom



7.
Crystalline Rb3Ag2Pb4 at its relaxed geometry. Source: Alexandria, functional GGA-PBE.

The structure in POSCAR format:
```
Rb3Ag2Pb4
1.0
4.8795 0.0000 0.0000
-2.4325 7.0963 0.0000
-0.0081 -3.0422 10.0822
Rb Ag Pb
3 2 4
Direct
0.0000 0.0000 0.0000
0.3694 0.7392 0.6134
0.6306 0.2608 0.3866
0.3376 0.6772 0.2118
0.6624 0.3228 0.7882
0.0846 0.1682 0.6479
0.2838 0.5649 0.9142
0.7162 0.4351 0.0858
0.9154 0.8318 0.3521
```

Fermi-level density of states   0.437 states/eV per atom
Formation enthalpy at 0 K   -57.5 meV/atom
Crystal system   triclinic
V   38.79 A^3/atom



8.
Crystalline Pa3Be at its relaxed geometry. Source: Alexandria, functional GGA-PBE.

The structure in POSCAR format:
```
Pa3Be
1.0
-1.5719 5.0708 2.6899
1.5719 -5.0708 2.6899
1.5719 5.0708 -2.6899
Pa Be
3 1
Direct
0.0000 0.0000 0.0000
0.4289 0.6492 0.7797
0.8695 0.6492 0.2203
0.4626 0.9626 0.5000
```

Fermi-level density of states   1.835 states/eV per atom
E above lowest polymorph   10 meV per atom
Formation enthalpy at 0 K   181.0 meV/atom
Crystal system   orthorhombic
V   21.44 A^3/atom



Repeat the sixth record exactly.
Crystalline Sn2HgTe2 at its relaxed geometry. Source: Alexandria, functional GGA-PBE.

The structure in POSCAR format:
```
Sn2HgTe2
1.0
8.5380 0.0000 0.0000
0.0000 8.5380 0.0000
0.0000 0.0000 4.2025
Sn Hg Te
4 2 4
Direct
0.1465 0.3535 0.0000
0.3535 0.8535 0.0000
0.6465 0.1465 0.0000
0.8535 0.6465 0.0000
0.0000 0.0000 0.0000
0.5000 0.5000 0.0000
0.1592 0.6592 0.5000
0.3408 0.1592 0.5000
0.6592 0.8408 0.5000
0.8408 0.3408 0.5000
```

Fermi-level density of states   0.419 states/eV per atom
E above lowest polymorph   65 meV per atom
Crystal system   tetragonal
V   30.63 A^3/atom